(1)
Entry from Alexandria via LeMat-Bulk: a relaxed NbTlPt2Au crystal (PBE).

Geometry as POSCAR:
```
NbTlPt2Au
1.0
5.009 0.000 0.000
0.000 5.035 0.000
0.000 0.000 5.009
Nb Pt Tl Au
1 2 1 1
Direct
0.500 0.500 0.500
0.500 0.000 0.000
0.000 0.000 0.500
0.000 0.000 0.000
0.000 0.500 0.000
```

Values from the calculation:
* size of the total moment: 0.576 μB per atom
* formation energy: 1.41 eV per atom
* V: 126.34 Å³/cell
* SG: P4/mmm
* DFT total energy: -20.762 eV per cell

***

(2)
Entry from Alexandria via LeMat-Bulk: a relaxed Ti2Hg2N crystal (PBE).

Geometry as POSCAR:
```
Ti2Hg2N
1.0
5.685 0.000 0.000
0.000 5.685 0.000
0.000 0.000 5.242
N Ti Hg
2 4 4
Direct
0.000 0.000 0.000
0.500 0.500 0.000
0.322 0.822 0.000
0.822 0.678 0.000
0.178 0.322 0.000
0.678 0.178 0.000
0.171 0.671 0.500
0.829 0.329 0.500
0.329 0.171 0.500
0.671 0.829 0.500
```

Values from the calculation:
* ΔE_f (raw): -0.3772 eV/atom
* excess energy over the best structure of this formula in the dataset: 0.0000 eV per atom
* size of the total moment: 0.000 μB per atom
* V: 169.42 Å³/cell
* SG: P4/mbm
* DFT total energy: -53.210 eV per cell